No. 1
Below is crystalline Hf2Si at its relaxed geometry, with properties calculated at the PBE level.

Output
Total DFT energy (no corrections)   -0.2243 Ha/atom
SG   Fd-3m (227)

Lattice parameters (Å, degrees): 8.1305 8.1305 8.1305 60.00 60.00 60.00
Closest atoms and distances in Å follow each position.
Positions (direct):
Hf 0.3750 0.3750 0.8750  2 Si 2.49
Hf 0.8750 0.3750 0.3750  2 Si 2.49
Hf 0.3750 0.3750 0.3750  2 Si 2.49
Hf 0.3750 0.8750 0.3750  2 Si 2.49
Si 0.5000 0.5000 0.5000  4 Hf 2.49
Si 0.2500 0.2500 0.2500  4 Hf 2.49

=====

No. 2
Below is crystalline HfSi at its relaxed geometry, with properties calculated at the PBE level.

Output
Total DFT energy (no corrections)   -0.3034 Ha/atom
SG   Fm-3m (225)

Lattice parameters (Å, degrees): 3.7839 3.7839 3.7839 60.00 60.00 60.00
Closest atoms and distances in Å follow each position.
Positions (direct):
Hf 0.0000 0.0000 0.0000  6 Si 2.68
Si 0.5000 0.5000 0.5000  6 Hf 2.68

=====

No. 3
Below is crystalline HfSi at its relaxed geometry, with properties calculated at the PBE level.

Output
Total DFT energy (no corrections)   -0.3127 Ha/atom
SG   Pnma (62)

Lattice parameters (Å, degrees): 3.7758 5.2448 6.9095 90.00 90.00 90.00
Closest atoms and distances in Å follow each position.
Positions (direct):
Si 0.0000 0.8887 0.0429  2 Si 2.46, 5 Hf 2.71-2.72
Si 0.5000 0.6098 0.9570  2 Si 2.46, 5 Hf 2.71
Si 0.5000 0.3902 0.4570  2 Si 2.46, 5 Hf 2.71
Si 0.0000 0.1113 0.5429  2 Si 2.46, 5 Hf 2.71-2.72
Hf 0.0000 0.3753 0.1758  7 Si 2.71-2.89
Hf 0.0000 0.6247 0.6757  7 Si 2.71-2.89
Hf 0.5000 0.1245 0.8243  7 Si 2.71-2.90
Hf 0.5000 0.8755 0.3243  7 Si 2.71-2.90

=====

No. 4
Below is crystalline Hf2Si at its relaxed geometry, with properties calculated at the PBE level.

Output
Total DFT energy (no corrections)   -0.3377 Ha/atom
SG   I4/mcm (140)

Lattice parameters (Å, degrees): 6.5745 5.3241 5.3209 76.28 51.88 51.84
Closest atoms and distances in Å follow each position.
Positions (direct):
Hf 0.1571 0.1571 0.8429  4 Si 2.80, 3 Hf 2.92-3.12
Hf 0.3429 0.6571 0.3429  4 Si 2.80, 3 Hf 2.92-3.11
Hf 0.6571 0.3429 0.6571  4 Si 2.80, 3 Hf 2.92-3.11
Hf 0.8429 0.8429 0.1571  4 Si 2.80, 3 Hf 2.92-3.12
Si 0.7500 0.7500 0.7500  2 Si 2.59, 8 Hf 2.80
Si 0.2500 0.2500 0.2500  2 Si 2.59, 8 Hf 2.80

=====

No. 5
Below is crystalline HfSi at its relaxed geometry, with properties calculated at the PBE level.

Output
Total DFT energy (no corrections)   -0.2958 Ha/atom
SG   P-6m2 (187)

Lattice parameters (Å, degrees): 3.1216 3.1216 4.2960 90.00 90.00 120.00
Closest atoms and distances in Å follow each position.
Positions (direct):
Hf 0.6667 0.3333 0.7500  6 Si 2.80, 6 Hf 3.12
Si 0.3333 0.6667 0.2500  6 Hf 2.80, 6 Si 3.12

=====

No. 6
Below is crystalline HfSi at its relaxed geometry, with properties calculated at the PBE level.

Output
Total DFT energy (no corrections)   -0.2639 Ha/atom
SG   F-43m (216)

Lattice parameters (Å, degrees): 4.2768 4.2768 4.2768 60.00 60.00 60.00
Closest atoms and distances in Å follow each position.
Positions (direct):
Si 0.2500 0.2500 0.2500  4 Hf 2.62
Hf 0.0000 0.0000 0.0000  4 Si 2.62

=====

No. 7
Below is crystalline Hf2Si at its relaxed geometry, with properties calculated at the PBE level.

Output
Total DFT energy (no corrections)   -0.3019 Ha/atom
SG   P6/mmm (191)

Lattice parameters (Å, degrees): 4.7527 4.7527 2.8544 90.00 90.00 120.00
Closest atoms and distances in Å follow each position.
Positions (direct):
Hf 0.6667 0.3333 0.5000  5 Hf 2.74-2.85
Hf 0.3333 0.6667 0.5000  5 Hf 2.74-2.85
Si 0.0000 0.0000 0.0000  2 Si 2.85, 12 Hf 3.09

=====

No. 8
Below is crystalline Sm2HfSi2 at its relaxed geometry, with properties calculated at the PBE level.

Output
Total DFT energy (no corrections)   -0.2452 Ha/atom
SG   P4/mbm (127)

Lattice parameters (Å, degrees): 7.2913 7.2913 4.2840 90.00 90.00 90.00
Closest atoms and distances in Å follow each position.
Positions (direct):
Hf 0.0000 0.0000 0.0000  4 Si 2.89
Hf 0.5000 0.5000 0.0000  4 Si 2.89
Sm 0.6760 0.8240 0.5000  6 Si 2.97-3.08
Sm 0.1760 0.6760 0.5000  6 Si 2.97-3.08
Sm 0.3240 0.1760 0.5000  6 Si 2.97-3.08
Sm 0.8240 0.3240 0.5000  6 Si 2.97-3.08
Si 0.1239 0.3761 0.0000  1 Si 2.56
Si 0.6239 0.1239 0.0000  1 Si 2.56
Si 0.3761 0.8761 0.0000  1 Si 2.56
Si 0.8761 0.6239 0.0000  1 Si 2.56

=====

No. 9
Below is crystalline HfSiSn at its relaxed geometry, with properties calculated at the PBE level.

Output
Total DFT energy (no corrections)   -0.2289 Ha/atom
Excess energy over the best structure of this formula in the dataset   0 meV/atom
SG   F-43m (216)

Lattice parameters (Å, degrees): 4.5760 4.5760 4.5760 60.00 60.00 60.00
Closest atoms and distances in Å follow each position.
Positions (direct):
Sn 0.7500 0.7500 0.7500  4 Si 2.80
Hf 0.2500 0.2500 0.2500  4 Si 2.80
Si 0.0000 0.0000 0.0000  4 Hf 2.80, 4 Sn 2.80

=====

No. 10
Below is crystalline HfSiSn at its relaxed geometry, with properties calculated at the PBE level.

Output
Total DFT energy (no corrections)   -0.2265 Ha/atom
Excess energy over the best structure of this formula in the dataset   66 meV/atom
SG   F-43m (216)

Lattice parameters (Å, degrees): 4.6786 4.6786 4.6786 60.00 60.00 60.00
Closest atoms and distances in Å follow each position.
Positions (direct):
Sn 0.7500 0.7500 0.7500  4 Hf 2.87
Si 0.2500 0.2500 0.2500  4 Hf 2.87
Hf 0.0000 0.0000 0.0000  4 Sn 2.87, 4 Si 2.87

=====

No. 11
Below is crystalline SrHfSi at its relaxed geometry, with properties calculated at the PBE level.

Output
Total DFT energy (no corrections)   -0.2009 Ha/atom
SG   F-43m (216)

Lattice parameters (Å, degrees): 4.8203 4.8203 4.8203 60.00 60.00 60.00
Closest atoms and distances in Å follow each position.
Positions (direct):
Hf 0.2500 0.2500 0.2500  4 Si 2.95
Sr 0.7500 0.7500 0.7500  4 Si 2.95
Si 0.0000 0.0000 0.0000  4 Hf 2.95, 4 Sr 2.95

=====

No. 12
Below is crystalline Sr2HfSi at its relaxed geometry, with properties calculated at the PBE level.

Output
Total DFT energy (no corrections)   -0.1531 Ha/atom
SG   F-43m (216)

Lattice parameters (Å, degrees): 5.3419 5.3419 5.3419 60.00 60.00 60.00
Closest atoms and distances in Å follow each position.
Positions (direct):
Si 0.5000 0.5000 0.5000  4 Sr 3.27, 4 Hf 3.27
Sr 0.0000 0.0000 0.0000  4 Hf 3.27, 4 Sr 3.27
Sr 0.7500 0.7500 0.7500  4 Si 3.27, 4 Sr 3.27
Hf 0.2500 0.2500 0.2500  4 Si 3.27, 4 Sr 3.27

=====

No. 13
Below is crystalline SrHfSi at its relaxed geometry, with properties calculated at the PBE level.

Output
Total DFT energy (no corrections)   -0.1610 Ha/atom
SG   F-43m (216)

Lattice parameters (Å, degrees): 4.9779 4.9779 4.9779 60.00 60.00 60.00
Closest atoms and distances in Å follow each position.
Positions (direct):
Hf 0.2500 0.2500 0.2500  4 Sr 3.05
Si 0.7500 0.7500 0.7500  4 Sr 3.05
Sr 0.0000 0.0000 0.0000  4 Hf 3.05, 4 Si 3.05

=====

No. 14
Below is crystalline HfTaSi at its relaxed geometry, with properties calculated at the PBE level.

Output
Total DFT energy (no corrections)   -0.3573 Ha/atom
SG   Ima2 (46)

Lattice parameters (Å, degrees): 5.1763 5.1763 5.1763 120.30 104.25 104.43
Closest atoms and distances in Å follow each position.
Positions (direct):
Si 0.7532 0.2532 0.5000  2 Si 2.58, 4 Ta 2.70-2.71, 4 Hf 2.71-2.73
Si 0.7532 0.7532 0.0000  2 Si 2.58, 4 Ta 2.70-2.71, 4 Hf 2.71-2.73
Ta 0.2516 0.8389 0.9127  4 Si 2.70-2.71, 1 Hf 2.87
Ta 0.9262 0.3389 0.0873  4 Si 2.70-2.71, 1 Hf 2.87
Hf 0.2504 0.1579 0.5925  4 Si 2.71-2.73, 1 Ta 2.87
Hf 0.5653 0.6579 0.4075  4 Si 2.71-2.73, 1 Ta 2.87

=====

No. 15
Below is crystalline HfTaSi at its relaxed geometry, with properties calculated at the PBE level.

Output
Total DFT energy (no corrections)   -0.3382 Ha/atom
SG   F-43m (216)

Lattice parameters (Å, degrees): 4.3573 4.3573 4.3573 60.00 60.00 60.00
Closest atoms and distances in Å follow each position.
Positions (direct):
Si 0.0000 0.0000 0.0000  4 Ta 2.67, 4 Hf 2.67
Ta 0.7500 0.7500 0.7500  4 Si 2.67
Hf 0.2500 0.2500 0.2500  4 Si 2.67

=====

No. 16
Below is crystalline HfTaSi at its relaxed geometry, with properties calculated at the PBE level.

Output
Total DFT energy (no corrections)   -0.3592 Ha/atom
SG   Pnma (62)

Lattice parameters (Å, degrees): 6.9735 3.6125 8.4262 90.00 90.00 90.00
Closest atoms and distances in Å follow each position.
Positions (direct):
Hf 0.5421 0.7500 0.6666  5 Si 2.76-2.99, 2 Ta 3.03
Hf 0.4579 0.2500 0.3334  5 Si 2.76-2.99, 2 Ta 3.03
Hf 0.9579 0.2500 0.1666  5 Si 2.76-2.99, 2 Ta 3.03
Hf 0.0421 0.7500 0.8334  5 Si 2.76-2.99, 2 Ta 3.03
Si 0.2454 0.2500 0.6410  4 Ta 2.60-2.73, 4 Hf 2.76-2.81
Si 0.7546 0.7500 0.3590  4 Ta 2.60-2.73, 4 Hf 2.76-2.81
Si 0.7454 0.2500 0.8590  4 Ta 2.60-2.73, 4 Hf 2.76-2.81
Si 0.2546 0.7500 0.1410  4 Ta 2.60-2.73, 4 Hf 2.76-2.81
Ta 0.6336 0.7500 0.0604  4 Si 2.60-2.73, 2 Ta 2.79
Ta 0.3664 0.2500 0.9396  4 Si 2.60-2.73, 2 Ta 2.79
Ta 0.1336 0.7500 0.4396  4 Si 2.60-2.73, 2 Ta 2.79
Ta 0.8664 0.2500 0.5604  4 Si 2.60-2.73, 2 Ta 2.79

=====

No. 17
Below is crystalline HfTaSi2 at its relaxed geometry, with properties calculated at the PBE level.

Output
Total DFT energy (no corrections)   -0.2921 Ha/atom
SG   F-43m (216)

Lattice parameters (Å, degrees): 4.5432 4.5432 4.5432 60.00 60.00 60.00
Closest atoms and distances in Å follow each position.
Positions (direct):
Si 0.2500 0.2500 0.2500  4 Hf 2.78, 4 Si 2.78
Si 0.0000 0.0000 0.0000  4 Ta 2.78, 4 Si 2.78
Hf 0.5000 0.5000 0.5000  4 Si 2.78, 4 Ta 2.78
Ta 0.7500 0.7500 0.7500  4 Hf 2.78, 4 Si 2.78

=====

No. 18
Below is crystalline HfTa2Si2 at its relaxed geometry, with properties calculated at the PBE level.

Output
Total DFT energy (no corrections)   -0.3431 Ha/atom
Excess energy over the best structure of this formula in the dataset   219 meV/atom
SG   I4/mmm (139)

Lattice parameters (Å, degrees): 6.3221 6.3221 6.3221 143.80 143.80 52.13
Closest atoms and distances in Å follow each position.
Positions (direct):
Ta 0.7500 0.2500 0.5000  4 Si 2.60, 4 Ta 2.78
Ta 0.2500 0.7500 0.5000  4 Si 2.60, 4 Ta 2.78
Si 0.4006 0.4006 0.0000  1 Si 2.26
Si 0.5994 0.5994 0.0000  1 Si 2.26
Hf 0.0000 0.0000 0.0000  8 Si 3.00

=====

No. 19
Below is crystalline HfTaSi at its relaxed geometry, with properties calculated at the PBE level.

Output
Total DFT energy (no corrections)   -0.3576 Ha/atom
SG   Fmmm (69)

Lattice parameters (Å, degrees): 6.3387 5.2356 5.1053 75.60 53.13 51.27
Closest atoms and distances in Å follow each position.
Positions (direct):
Hf 0.8386 0.1614 0.8386  4 Si 2.73, 3 Hf 2.85-3.01
Hf 0.1614 0.8386 0.1614  4 Si 2.73, 3 Hf 2.85-3.01
Ta 0.6572 0.6572 0.3428  4 Si 2.69, 1 Ta 2.86
Ta 0.3428 0.3428 0.6572  4 Si 2.69, 1 Ta 2.86
Si 0.2500 0.2500 0.2500  2 Si 2.58, 4 Ta 2.69, 4 Hf 2.73
Si 0.7500 0.7500 0.7500  2 Si 2.58, 4 Ta 2.69, 4 Hf 2.73

=====

No. 20
Below is crystalline HfTa2Si at its relaxed geometry, with properties calculated at the PBE level.

Output
Total DFT energy (no corrections)   -0.3618 Ha/atom
SG   F-43m (216)

Lattice parameters (Å, degrees): 4.6342 4.6342 4.6342 60.00 60.00 60.00
Closest atoms and distances in Å follow each position.
Positions (direct):
Si 0.5000 0.5000 0.5000  4 Hf 2.84, 4 Ta 2.84
Hf 0.2500 0.2500 0.2500  4 Ta 2.84, 4 Si 2.84
Ta 0.7500 0.7500 0.7500  4 Ta 2.84, 4 Si 2.84
Ta 0.0000 0.0000 0.0000  4 Hf 2.84, 4 Ta 2.84